DFT (PBE) results for Rb3Dy2MnTe6 after structural relaxation.

Cell and atoms, written as extended XYZ:
```
12
Lattice="3.905 -6.570 0.000 3.905 6.570 0.000 -2.708 0.000 8.513" Properties=species:S:1:pos:R:3 pbc="T T T"
Rb 0.000 0.000 0.000
Rb 3.905 2.286 0.000
Rb 3.905 -2.286 0.000
Dy 2.551 4.439 4.256
Dy 2.551 -4.439 4.256
Mn 2.551 0.000 4.256
Te 1.387 2.020 2.689
Te -0.039 0.000 6.014
Te 1.387 -2.020 2.689
Te 3.715 2.020 5.824
Te 5.141 0.000 2.499
Te 3.715 -2.020 5.824
```

Total moment (μB/cell): 4.00
Volume (Å³/cell): 436.8
Formation energy without anion corrections (meV per atom): -1042